# Al2NiMo, relaxed, DFT PBE
data_Al2NiMo
_cell_length_a 6.0363
_cell_length_b 6.0363
_cell_length_c 6.0363
_cell_angle_alpha 90.00
_cell_angle_beta 90.00
_cell_angle_gamma 90.00
_symmetry_space_group_name_H-M 'F m -3 m'
_symmetry_Int_Tables_number 225
_symmetry_space_group_name_Hall '-F 4 2 3'
loop_
_atom_site_label
_atom_site_type_symbol
_atom_site_fract_x
_atom_site_fract_y
_atom_site_fract_z
Al1 Al 0.2500 0.2500 0.2500
Ni1 Ni 0.0000 0.0000 0.0000
Mo1 Mo 0.0000 0.0000 0.5000
# - Formation energy: -225 meV per atom
# - Volume: 13.7 Å³/atom
# - Energy relative to the lowest polymorph listed for this composition: 0.136 eV per atom

***

# KZnRu2, relaxed, DFT PBE
data_KZnRu2
_cell_length_a 3.9487
_cell_length_b 3.9487
_cell_length_c 9.3286
_cell_angle_alpha 90.00
_cell_angle_beta 90.00
_cell_angle_gamma 90.00
_symmetry_space_group_name_H-M 'I 4/m m m'
_symmetry_Int_Tables_number 139
_symmetry_space_group_name_Hall '-I 4 2'
loop_
_atom_site_label
_atom_site_type_symbol
_atom_site_fract_x
_atom_site_fract_y
_atom_site_fract_z
K1 K 0.0000 0.0000 0.0000
Zn1 Zn 0.0000 0.0000 0.5000
Ru1 Ru 0.0000 0.5000 0.2500
# - Formation energy: 1213 meV per atom
# - Volume: 18.2 Å³/atom

***

# KCaErO3, relaxed, DFT PBE
data_KCaErO3
_cell_length_a 7.3089
_cell_length_b 3.4328
_cell_length_c 9.9942
_cell_angle_alpha 90.00
_cell_angle_beta 91.90
_cell_angle_gamma 90.00
_symmetry_space_group_name_H-M 'P 1 21/m 1'
_symmetry_Int_Tables_number 11
loop_
_symmetry_equiv_pos_as_xyz
'x,y,z'
'-x,-y,-z'
'-x,y+1/2,-z'
'x,-y+1/2,z'
loop_
_atom_site_label
_atom_site_type_symbol
_atom_site_fract_x
_atom_site_fract_y
_atom_site_fract_z
K1 K 0.1279 0.2500 0.2116
Ca1 Ca 0.1663 0.2500 0.5631
Er1 Er 0.3995 0.7500 0.8756
O1 O 0.1451 0.7500 0.4271
O2 O 0.2448 0.2500 0.7904
O3 O 0.3882 0.7500 0.0878
# - Formation energy from raw total energies: -2.6052 eV/atom
# - Volume: 20.9 Å³/atom